1.
ZnMoW2 (SCAN, single point on PBEsol structure); total moment = 0.0 μB/f.u.; space-group type = Pmm2, No. 25; DFT formation energy = 0.2983 eV per atom
1.0
2.619 0.000 0.000
0.000 4.257 0.000
0.000 0.000 5.464
Zn Mo W
1 1 2
direct
0.000 0.000 0.000
0.500 0.500 0.242
0.000 0.000 0.499
0.500 0.500 0.754

***

2.
BaTlP3 (SCAN, single point on PBEsol structure); total moment = 0.0 μB/f.u.; space-group type = Pm-3m, No. 221; DFT formation energy = 0.3784 eV per atom
1.0
5.136 0.000 0.000
0.000 5.136 0.000
0.000 0.000 5.136
Ba Tl P
1 1 3
direct
0.000 0.000 0.000
0.500 0.500 0.500
0.000 0.500 0.500
0.500 0.000 0.500
0.500 0.500 0.000

***

3.
Ta2HgTe (SCAN, single point on PBEsol structure); distance to the lowest polymorph of the same formula = 28.8 kJ/mol of atoms; ΔE_f (raw) = 1.9 eV/f.u.; total moment = 0.0 μB/f.u.; space-group type = P2/m, No. 10
1.0
3.089 0.000 0.000
0.000 4.423 0.000
-1.355 0.000 5.670
Ta Hg Te
2 1 1
direct
0.236 0.000 0.259
0.764 0.000 0.741
0.500 0.500 0.000
0.000 0.500 0.500

***

4.
PtBrCl2 (SCAN, single point on PBEsol structure); distance to the lowest polymorph of the same formula = 6.3 kJ/mol of atoms; ΔE_f (raw) = 2.5 eV/f.u.; total moment = 1.3 μB/f.u.; space-group type = P4mm, No. 99
1.0
3.167 0.000 0.000
0.000 3.167 0.000
0.000 0.000 7.927
Pt Br Cl
1 1 2
direct
0.000 0.000 0.000
0.500 0.500 0.204
0.000 0.000 0.472
0.500 0.500 0.808

***

5.
SrFeHg2 (SCAN, single point on PBEsol structure); total moment = 2.6 μB/f.u.; space-group type = C2/m, No. 12; DFT formation energy = -0.1498 eV per atom
1.0
3.914 -2.255 0.000
3.914 2.255 0.000
-2.598 0.000 5.573
Sr Fe Hg
1 1 2
direct
0.000 0.000 0.000
0.500 0.500 0.500
0.210 0.210 0.632
0.790 0.790 0.368

***

6.
KZnSb3 (SCAN, single point on PBEsol structure); ΔE_f (raw) = 7.4 eV/f.u.; total moment = 0.0 μB/f.u.; space-group type = Pm-3m, No. 221
1.0
5.695 0.000 0.000
0.000 5.695 0.000
0.000 0.000 5.695
K Zn Sb
1 1 3
direct
0.000 0.000 0.000
0.500 0.500 0.500
0.000 0.000 0.500
0.000 0.500 0.000
0.500 0.000 0.000

***

7.
ZnSn2Pb (SCAN, single point on PBEsol structure); total moment = 0.0 μB/f.u.; space-group type = Fm-3m, No. 225; DFT formation energy = 0.2818 eV per atom
1.0
0.000 3.674 3.674
3.674 0.000 3.674
3.674 3.674 0.000
Zn Sn Pb
1 2 1
direct
0.000 0.000 0.000
0.250 0.250 0.250
0.750 0.750 0.750
0.500 0.500 0.500

***

8.
KMgIn2 (SCAN, single point on PBEsol structure); total moment = 0.0 μB/f.u.; space-group type = P4/mmm, No. 123; DFT formation energy = -0.1965 eV per atom
1.0
3.600 0.000 0.000
0.000 3.600 0.000
0.000 0.000 8.605
K Mg In
1 1 2
direct
0.000 0.000 0.000
0.000 0.000 0.500
0.500 0.500 0.302
0.500 0.500 0.698

***

9.
Ca2Bi2O5 (SCAN, single point on PBEsol structure); ΔE_f (raw) = -18.7 eV/f.u.; total moment = 0.0 μB/f.u.; space-group type = P-1, No. 2
1.0
10.018 0.000 0.000
-0.535 10.031 0.000
-3.125 -4.925 8.700
Ca Bi O
12 12 30
direct
0.061 0.474 0.161
0.153 0.896 0.985
0.168 0.569 0.660
0.218 0.200 0.316
0.345 0.895 0.353
0.404 0.654 0.479
0.596 0.346 0.521
0.655 0.105 0.647
0.782 0.800 0.684
0.832 0.431 0.340
0.847 0.104 0.015
0.939 0.526 0.839
0.061 0.797 0.510
0.077 0.147 0.847
0.313 0.568 0.029
0.332 0.245 0.678
0.422 0.979 0.809
0.423 0.308 0.162
0.577 0.692 0.838
0.578 0.021 0.191
0.668 0.755 0.322
0.687 0.432 0.971
0.923 0.853 0.153
0.939 0.203 0.490
0.081 0.383 0.920
0.092 0.573 0.424
0.099 0.174 0.066
0.111 0.842 0.737
0.142 0.942 0.227
0.160 0.307 0.531
0.168 0.653 0.904
0.272 0.634 0.239
0.318 0.898 0.570
0.368 0.072 0.151
0.380 0.723 0.723
0.381 0.397 0.364
0.417 0.167 0.504
0.433 0.481 0.797
0.463 0.804 0.176
0.537 0.196 0.824
0.567 0.519 0.203
0.583 0.833 0.496
0.619 0.603 0.636
0.620 0.277 0.277
0.632 0.928 0.849
0.682 0.102 0.430
0.728 0.366 0.761
0.832 0.347 0.096
0.840 0.693 0.469
0.858 0.058 0.773
0.889 0.158 0.263
0.901 0.826 0.934
0.908 0.427 0.576
0.919 0.617 0.080

***

10.
WAuBr2 (SCAN, single point on PBEsol structure); distance to the lowest polymorph of the same formula = 105.3 kJ/mol of atoms; ΔE_f (raw) = 5.5 eV/f.u.; total moment = 3.3 μB/f.u.; space-group type = P4/mmm, No. 123
1.0
4.448 0.000 0.000
0.000 4.448 0.000
0.000 0.000 3.940
W Au Br
1 1 2
direct
0.000 0.000 0.000
0.500 0.500 0.000
0.000 0.500 0.500
0.500 0.000 0.500

***

11.
CsScCd2 (SCAN, single point on PBEsol structure); total moment = 0.0 μB/f.u.; space-group type = Fm-3m, No. 225; DFT formation energy = 0.3810 eV per atom
1.0
0.000 3.916 3.916
3.916 0.000 3.916
3.916 3.916 0.000
Cs Sc Cd
1 1 2
direct
0.000 0.000 0.000
0.500 0.500 0.500
0.250 0.250 0.250
0.750 0.750 0.750

***

12.
Sr2CoCl2O2 (SCAN, single point on PBEsol structure); distance to the lowest polymorph of the same formula = 1.0 kJ/mol of atoms; ΔE_f (raw) = -16.9 eV/f.u.; total moment = 2.0 μB/f.u.; space-group type = Immm, No. 71
1.0
-2.745 5.487 7.972
2.745 -5.487 7.972
2.745 5.487 -7.972
Sr Co Cl O
8 4 8 8
direct
0.106 0.106 0.000
0.146 0.392 0.754
0.362 0.608 0.754
0.392 0.892 0.500
0.608 0.108 0.500
0.638 0.392 0.246
0.854 0.608 0.246
0.894 0.894 0.000
0.000 0.500 0.500
0.253 0.000 0.253
0.500 0.500 0.000
0.747 0.000 0.747
0.066 0.811 0.255
0.167 0.667 0.500
0.309 0.309 0.000
0.444 0.189 0.255
0.556 0.811 0.745
0.691 0.691 0.000
0.833 0.333 0.500
0.934 0.189 0.745
0.130 0.244 0.374
0.130 0.756 0.886
0.375 0.247 0.622
0.375 0.753 0.129
0.625 0.247 0.871
0.625 0.753 0.378
0.870 0.244 0.114
0.870 0.756 0.626

***

13.
Zn3CrPt (SCAN, single point on PBEsol structure); total moment = 4.9 μB/f.u.; space-group type = Pm-3m, No. 221; DFT formation energy = 0.1979 eV per atom
1.0
4.709 0.000 0.000
0.000 4.709 0.000
0.000 0.000 4.709
Zn Cr Pt
3 1 1
direct
0.000 0.000 0.500
0.000 0.500 0.000
0.500 0.000 0.000
0.500 0.500 0.500
0.000 0.000 0.000

***

14.
MnB2H8 (SCAN, single point on PBEsol structure); total energy = -5.665 eV/atom; total moment = 5.0 μB/f.u.; space-group type = I4_1/acd, No. 142
1.0
-3.709 3.709 5.947
3.709 -3.709 5.947
3.709 3.709 -5.947
Mn B H
4 8 32
direct
0.125 0.875 0.250
0.375 0.625 0.750
0.625 0.375 0.250
0.875 0.125 0.750
0.225 0.250 0.475
0.250 0.275 0.025
0.250 0.775 0.525
0.275 0.750 0.025
0.725 0.250 0.975
0.750 0.225 0.475
0.750 0.725 0.975
0.775 0.750 0.525
0.091 0.669 0.927
0.106 0.863 0.490
0.115 0.373 0.510
0.127 0.385 0.990
0.137 0.127 0.243
0.164 0.091 0.922
0.169 0.591 0.427
0.241 0.164 0.573
0.259 0.831 0.922
0.331 0.759 0.422
0.336 0.259 0.927
0.363 0.606 0.990
0.373 0.363 0.257
0.385 0.894 0.257
0.394 0.885 0.757
0.409 0.336 0.578
0.591 0.664 0.422
0.606 0.115 0.243
0.615 0.106 0.743
0.627 0.637 0.743
0.637 0.394 0.010
0.664 0.741 0.073
0.669 0.241 0.578
0.741 0.169 0.078
0.759 0.836 0.427
0.831 0.409 0.573
0.836 0.909 0.078
0.863 0.873 0.757
0.873 0.615 0.010
0.885 0.627 0.490
0.894 0.137 0.510
0.909 0.331 0.073

***

15.
CaSnSb2I (SCAN, single point on PBEsol structure); ΔE_f (raw) = 0.4 eV/f.u.; total moment = 0.0 μB/f.u.; space-group type = P4/mmm, No. 123
1.0
5.558 0.000 0.000
0.000 5.558 0.000
0.000 0.000 5.929
Ca Sn Sb I
1 1 2 1
direct
0.000 0.000 0.000
0.500 0.500 0.500
0.000 0.500 0.500
0.500 0.000 0.500
0.500 0.500 0.000

***

16.
Cr3SbP6O24 (SCAN, single point on PBEsol structure); ΔE_f (raw) = -74.9 eV/f.u.; total moment = 5.0 μB/f.u.; space-group type = R3, No. 146
1.0
4.117 2.377 7.242
-4.117 2.377 7.242
0.000 -4.754 7.242
Cr Sb P O
3 1 6 24
direct
0.000 0.000 0.000
0.213 0.213 0.213
0.718 0.718 0.718
0.504 0.504 0.504
0.100 0.833 0.393
0.322 0.611 0.895
0.393 0.100 0.833
0.611 0.895 0.322
0.833 0.393 0.100
0.895 0.322 0.611
0.026 0.374 0.087
0.045 0.337 0.402
0.047 0.865 0.234
0.087 0.026 0.374
0.121 0.760 0.971
0.234 0.047 0.865
0.313 0.675 0.367
0.329 0.641 0.697
0.337 0.402 0.045
0.367 0.313 0.675
0.374 0.087 0.026
0.402 0.045 0.337
0.488 0.658 0.860
0.596 0.957 0.753
0.641 0.697 0.329
0.658 0.860 0.488
0.675 0.367 0.313
0.697 0.329 0.641
0.753 0.596 0.957
0.760 0.971 0.121
0.860 0.488 0.658
0.865 0.234 0.047
0.957 0.753 0.596
0.971 0.121 0.760

***

17.
Y5Cd (SCAN, single point on PBEsol structure); distance to the lowest polymorph of the same formula = 1.1 kJ/mol of atoms; total moment = 0.0 μB/f.u.; space-group type = Cm, No. 8; DFT formation energy = -0.1193 eV per atom
1.0
6.062 -1.849 0.000
6.062 1.849 0.000
-3.195 0.000 7.780
Y Cd
5 1
direct
0.000 0.000 0.000
0.024 0.024 0.450
0.315 0.315 0.162
0.339 0.339 0.613
0.669 0.669 0.806
0.670 0.670 0.307

***

18.
NaCo3 (SCAN, single point on PBEsol structure); total moment = 5.7 μB/f.u.; space-group type = P6_3/mmc, No. 194; DFT formation energy = 0.7078 eV per atom
1.0
5.815 0.000 0.000
-2.908 5.036 0.000
0.000 0.000 3.982
Na Co
2 6
direct
0.333 0.667 0.250
0.667 0.333 0.750
0.133 0.266 0.750
0.133 0.867 0.750
0.266 0.133 0.250
0.734 0.867 0.750
0.867 0.133 0.250
0.867 0.734 0.250

***

19.
CoNiPt (SCAN, single point on PBEsol structure); distance to the lowest polymorph of the same formula = 0.0 kJ/mol of atoms; total moment = 3.1 μB/f.u.; space-group type = Imm2, No. 44; DFT formation energy = -0.1256 eV per atom
1.0
-1.308 1.789 3.876
1.308 -1.789 3.876
1.308 1.789 -3.876
Co Ni Pt
1 1 1
direct
0.000 0.000 0.000
0.657 0.657 0.000
0.329 0.329 0.000

***

20.
Li2BiPd (SCAN, single point on PBEsol structure); total moment = 0.0 μB/f.u.; space-group type = I-42d, No. 122; DFT formation energy = -0.2627 eV per atom
1.0
-3.752 3.752 2.684
3.752 -3.752 2.684
3.752 3.752 -2.684
Li Bi Pd
4 2 2
direct
0.086 0.625 0.961
0.375 0.336 0.461
0.664 0.125 0.039
0.875 0.914 0.539
0.250 0.750 0.500
0.500 0.500 0.000
0.000 0.000 0.000
0.750 0.250 0.500

***

21.
Ga2Pt2Pb (SCAN, single point on PBEsol structure); total moment = 0.0 μB/f.u.; space-group type = I4/mmm, No. 139; DFT formation energy = -0.5087 eV per atom
1.0
-1.936 1.936 6.084
1.936 -1.936 6.084
1.936 1.936 -6.084
Ga Pt Pb
2 2 1
direct
0.250 0.750 0.500
0.750 0.250 0.500
0.116 0.116 0.000
0.884 0.884 0.000
0.500 0.500 0.000

***

Number 1: V 61 Å³/f.u.. Number 2: V 135 Å³/f.u.. Number 3: V 77 Å³/f.u.. Number 4: V 79 Å³/f.u.. Number 5: V 98 Å³/f.u.. Number 6: V 185 Å³/f.u.. Number 7: V 99 Å³/f.u.. Number 8: V 112 Å³/f.u.. Number 9: V 146 Å³/f.u.. Number 10: V 78 Å³/f.u.. Number 11: V 120 Å³/f.u.. Number 12: V 120 Å³/f.u.. Number 13: V 104 Å³/f.u.. Number 14: V 82 Å³/f.u.. Number 15: V 183 Å³/f.u.. Number 16: V 425 Å³/f.u.. Number 17: V 174 Å³/f.u.. Number 18: V 58 Å³/f.u.. Number 19: V 36 Å³/f.u.. Number 20: V 76 Å³/f.u.. Number 21: V 91 Å³/f.u..